Entry 1:
CuNiTe2 | PBE | optimized geometry

a = 5.2171 Å, b = 5.2171 Å, c = 5.2171 Å
α = 139.21°, β = 108.56°, γ = 85.68°
Positions (direct):
Ni: 0.7500 0.2500 0.5000
Te: 0.5117 0.5117 0.0000
Te: 0.9883 0.9883 0.0000
Cu: 0.2500 0.7500 0.5000

Computed properties:
- Spin magnetization: 0.00 μB per formula unit
- E_form (uncorrected): 0.32 eV per atom
- E above lowest polymorph: 408.1 meV/atom
- Total DFT energy (no corrections): -14.89 eV per cell
- Crystal system: orthorhombic
- Symmetry: Immm (71)

=====

Entry 2:
CuNiTe2 | PBE | optimized geometry

a = 6.7491 Å, b = 6.7491 Å, c = 6.7491 Å
α = 149.59°, β = 148.63°, γ = 44.25°
Positions (direct):
Te: 0.2109 0.7109 0.5000
Te: 0.9487 0.9487 0.0000
Cu: 0.5456 0.5456 0.0000
Ni: 0.7948 0.2948 0.5000

Computed properties:
- Spin magnetization: 0.00 μB per formula unit
- E_form (uncorrected): 0.14 eV per atom
- E above lowest polymorph: 234.8 meV/atom
- Total DFT energy (no corrections): -15.59 eV per cell
- Crystal system: orthorhombic
- Symmetry: Imm2 (44)

=====

Entry 3:
CuNiTe2 | PBE | optimized geometry

a = 4.1828 Å, b = 4.1828 Å, c = 6.4181 Å
α = 73.46°, β = 73.46°, γ = 52.15°
Positions (direct):
Ni: 0.2550 0.2550 0.2893
Te: 0.0002 0.0002 0.1042
Te: 0.7431 0.7431 0.6489
Cu: 0.5017 0.5017 0.4576

Computed properties:
- Spin magnetization: 0.00 μB per formula unit
- E_form (uncorrected): -0.04 eV per atom
- E above lowest polymorph: 50.5 meV/atom
- Total DFT energy (no corrections): -16.33 eV per cell
- Crystal system: monoclinic
- Symmetry: Cm (8)

=====

Entry 4:
CuNiTe2 | PBE | optimized geometry

a = 4.7574 Å, b = 4.7574 Å, c = 4.7574 Å
α = 60.00°, β = 60.00°, γ = 60.00°
Positions (direct):
Te: 0.2500 0.2500 0.2500
Te: 0.7500 0.7500 0.7500
Ni: 0.0000 0.0000 0.0000
Cu: 0.5000 0.5000 0.5000

Computed properties:
- Spin magnetization: 0.00 μB per formula unit
- E_form (uncorrected): 0.37 eV per atom
- E above lowest polymorph: 456.7 meV/atom
- Total DFT energy (no corrections): -14.70 eV per cell
- Crystal system: cubic
- Symmetry: Fm-3m (225)

=====

Entry 5:
CuNiTe | PBE | optimized geometry

a = 4.5605 Å, b = 4.5613 Å, c = 3.5294 Å
α = 67.23°, β = 67.25°, γ = 45.53°
Positions (direct):
Te: 0.6696 0.6696 0.3304
Ni: 0.3307 0.3307 0.6693
Cu: 0.9997 0.9997 0.0003

Computed properties:
- Spin magnetization: 0.00 μB per formula unit
- E_form (uncorrected): 0.13 eV per atom
- Total DFT energy (no corrections): -12.64 eV per cell
- Crystal system: tetragonal
- Symmetry: I4mm (107)

=====

Entry 6:
CuNi2Te4 | PBE | optimized geometry

a = 7.6987 Å, b = 7.6987 Å, c = 7.6729 Å
α = 59.98°, β = 59.98°, γ = 90.13°
Positions (direct):
Te: 0.2613 0.2372 0.9786
Te: 0.2843 0.7599 0.4790
Te: 0.2628 0.2387 0.5214
Te: 0.7387 0.7628 0.0214
Te: 0.7372 0.7613 0.4786
Te: 0.7157 0.2401 0.5210
Te: 0.2599 0.7843 0.9790
Te: 0.7401 0.2157 0.0210
Cu: 0.8751 0.6249 0.7500
Cu: 0.1249 0.3751 0.2500
Ni: 0.5000 0.0000 0.5000
Ni: 0.5000 0.5000 0.5000
Ni: 0.5000 0.0000 0.0000
Ni: 0.0000 0.0000 0.0000

Computed properties:
- Spin magnetization: 0.00 μB per formula unit
- E_form (uncorrected): -0.17 eV per atom
- Total DFT energy (no corrections): -58.81 eV per cell
- Crystal system: orthorhombic
- Symmetry: Fddd (70)

=====

Entry 7:
CuNiTe2 | PBE | optimized geometry

a = 3.8081 Å, b = 3.8073 Å, c = 6.1012 Å
α = 90.00°, β = 90.01°, γ = 90.00°
Positions (direct):
Cu: 0.1250 0.5000 0.6250
Ni: 0.6250 0.0000 0.6250
Te: 0.1250 0.0000 0.9086
Te: 0.6249 0.5000 0.3414

Computed properties:
- Spin magnetization: 0.00 μB per formula unit
- E_form (uncorrected): -0.09 eV per atom
- E above lowest polymorph: 0.0 meV/atom
- Total DFT energy (no corrections): -16.53 eV per cell
- Crystal system: tetragonal
- Symmetry: P-4m2 (115)

=====

Entry 8:
CuNiTe2 | PBE | optimized geometry

a = 5.8469 Å, b = 5.8469 Å, c = 7.0639 Å
α = 65.55°, β = 65.55°, γ = 90.00°
Positions (direct):
Ni: 0.5000 0.5000 0.0000
Ni: 0.2500 0.7500 0.5000
Cu: 0.0000 0.0000 0.0000
Cu: 0.7500 0.2500 0.5000
Te: 0.1398 0.6250 0.2500
Te: 0.6102 0.1250 0.2500
Te: 0.8750 0.8602 0.7500
Te: 0.3750 0.3898 0.7500

Computed properties:
- Spin magnetization: 0.00 μB per formula unit
- E_form (uncorrected): -0.05 eV per atom
- E above lowest polymorph: 41.5 meV/atom
- Total DFT energy (no corrections): -32.72 eV per cell
- Crystal system: tetragonal
- Symmetry: I-42d (122)